DFT (PBE-GGA) results for a relaxed TbCu3Pt crystal.

```
10
Lattice="-0.456 2.225 -4.280 0.181 -4.288 -2.248 -8.576 0.360 3.843" Properties=species:S:1:pos:R:3 pbc="T T T"
Tb -1.642 1.003 -2.046
Tb -7.528 0.549 -1.655
Cu -6.491 -2.094 -1.750
Cu -2.109 -3.375 -1.530
Cu -2.199 -1.259 -0.420
Cu -6.266 -3.192 0.362
Cu -5.365 -0.414 0.357
Cu -3.486 -1.290 -3.042
Pt 0.000 0.000 0.000
Pt -4.266 -2.480 -0.835
```

For the formation energy, the calculation gives -0.135 eV per formula unit. The calculation puts the calculated volume at 20.6 Å³/atom.